DFT (PBE) results for crystalline DyYSN at its relaxed geometry.

Cell lengths 3.6259, 3.6259, 18.8241 Å; angles 90.00, 90.00, 120.00 degrees
Space group R3m (No. 160, hexagonal axes)
One atom of each set of equivalent atoms:
1 Dy 0.0000 0.0000 0.0000
2 Y 0.0000 0.0000 0.4725
3 S 0.0000 0.0000 0.2364
4 N 0.0000 0.0000 0.7355

Properties
The calculation puts the theoretical density at 6.914 Mg/m³. The calculation puts the formation energy from raw total energies at -179 kJ/mol of atoms.